A relaxed structure of TbTh2Te, computed with PBE.

Lattice parameters (Å, degrees): 5.5621 5.5621 5.5637 60.01 60.01 60.00
Atoms (fractional coordinates):
Te1 0.0000 0.0000 0.0000
Tb1 0.5000 0.5000 0.5000
Th1 0.2500 0.2500 0.2500
Th2 0.7500 0.7500 0.7500

Output
Symmetry   Fm-3m
Energy   -22.93 eV/cell

***

A relaxed structure of MgNF2, computed with PBE.

Lattice parameters (Å, degrees): 8.1623 8.1623 8.1623 22.22 22.22 22.22
Atoms (fractional coordinates):
Mg1 0.5000 0.5000 0.5000
N1 0.0000 0.0000 0.0000
F1 0.8721 0.8721 0.8721
F2 0.1279 0.1279 0.1279

Output
E above lowest polymorph   0.001 eV/atom
Symmetry   R-3m

***

A relaxed structure of LiLaSm2, computed with PBE.

Lattice parameters (Å, degrees): 3.7477 3.7477 8.8476 90.00 90.00 90.00
Atoms (fractional coordinates):
Li1 0.5000 0.5000 0.0000
Sm1 0.0000 0.0000 0.7831
Sm2 0.0000 0.0000 0.2169
La1 0.5000 0.5000 0.5000

Output
E above lowest polymorph   0.000 eV/atom
Symmetry   P4/mmm

***

A relaxed structure of HgAs2Br, computed with PBE.

Lattice parameters (Å, degrees): 7.8258 3.8892 3.8892 90.00 90.00 90.00
Atoms (fractional coordinates):
As1 0.0000 0.0000 0.0000
As2 0.0000 0.5000 0.5000
Hg1 0.5000 0.0000 0.5000
Br1 0.5000 0.5000 0.0000

Output
E above lowest polymorph   0.375 eV/atom
Symmetry   P4/mmm

***

A relaxed structure of Ta2ZnCu, computed with PBE.

Lattice parameters (Å, degrees): 3.8950 2.8527 6.3475 62.59 90.00 90.00
Atoms (fractional coordinates):
Cu1 0.5000 0.7500 0.7500
Ta1 0.0000 0.0055 0.9965
Ta2 0.0000 0.4945 0.5035
Zn1 0.5000 0.2500 0.2500

Output
Symmetry   P2/m
Energy   -28.78 eV/cell

***

A relaxed structure of Sr2GeIr, computed with PBE.

Lattice parameters (Å, degrees): 4.3294 4.3294 8.5874 75.40 75.40 60.00
Atoms (fractional coordinates):
Sr1 0.4740 0.4740 0.5780
Sr2 0.3064 0.3064 0.0809
Ge1 0.7236 0.7236 0.8293
Ir1 0.0569 0.0569 0.8292

Output
Symmetry   R3m
Energy   -18.81 eV/cell

***

A relaxed structure of RbSrTl3, computed with PBE.

Lattice parameters (Å, degrees): 6.2474 6.2474 6.2474 90.00 90.00 90.00
Atoms (fractional coordinates):
Sr1 0.5000 0.5000 0.5000
Tl1 0.0000 0.5000 0.0000
Tl2 0.0000 0.0000 0.5000
Tl3 0.5000 0.0000 0.0000
Rb1 0.0000 0.0000 0.0000

Output
E above lowest polymorph   0.236 eV/atom
Symmetry   Pm-3m

***

A relaxed structure of CrOs2Au, computed with PBE.

Lattice parameters (Å, degrees): 2.6880 2.6880 9.3575 90.00 90.00 117.24
Atoms (fractional coordinates):
Au1 0.5000 0.5000 0.2500
Cr1 0.5000 0.5000 0.7500
Os1 0.0000 0.0000 0.9712
Os2 0.0000 0.0000 0.5288

Output
E above lowest polymorph   0.217 eV/atom
Symmetry   Cmmm

***

Ordered mass density results: 10.24; 1.86; 5.97; 6.04; 13.02; 5.48; 5.35; 17.39; unit g cm⁻³.
Ordered spin magnetization results: 0.000; 0.750; 0.000; 0.000; 0.000; 0.000; 0.000; 0.001; unit μB/atom.